# 1
Density functional theory data (GGA-PBE) for a geometry-optimized NaTbNpO6 structure.

Geometry as CIF:
```
data_NaTbNpO6
_chemical_formula_sum 'Na2 Tb2 Np2 O12'
_cell_length_a 5.163
_cell_length_b 5.163
_cell_length_c 10.271
_cell_angle_alpha 90.00
_cell_angle_beta 90.00
_cell_angle_gamma 90.00
_symmetry_space_group_name_H-M 'P 42 n m'
_symmetry_Int_Tables_number 102
_symmetry_space_group_name_Hall 'P 4n -2n'
loop_
_atom_site_label
_atom_site_type_symbol
_atom_site_fract_x
_atom_site_fract_y
_atom_site_fract_z
_atom_site_occupancy
Na1 Na 0.000 0.000 0.000 1
Tb1 Tb 0.000 0.000 0.670 1
Np1 Np 0.000 0.000 0.334 1
O1 O 0.176 0.176 0.482 1
O2 O 0.191 0.191 0.193 1
O3 O 0.224 0.224 0.825 1
```

Properties
As for the formation energy from raw total energies: -2472 meV per atom.



# 2
Density functional theory data (GGA-PBE) for a geometry-optimized Li2FeRh2 structure.

Geometry as CIF:
```
data_Li2FeRh2
_chemical_formula_sum 'Li4 Fe2 Rh4'
_cell_length_a 6.476
_cell_length_b 6.476
_cell_length_c 3.028
_cell_angle_alpha 90.00
_cell_angle_beta 90.00
_cell_angle_gamma 90.00
_symmetry_space_group_name_H-M 'P 4/m b m'
_symmetry_Int_Tables_number 127
_symmetry_space_group_name_Hall '-P 4 2ab'
loop_
_atom_site_label
_atom_site_type_symbol
_atom_site_fract_x
_atom_site_fract_y
_atom_site_fract_z
_atom_site_occupancy
Li1 Li 0.153 0.347 0.000 1
Fe1 Fe 0.000 0.000 0.500 1
Rh1 Rh 0.148 0.648 0.500 1
```

Properties
As for the formation energy from the elements: 0.371 eV/atom. The polymorph energy (0 for the lowest one) comes out at 334 meV/atom.



Summary of size of the total moment in μB/cell
2.0 0.0
(order as listed above)
Summary of total energy in eV/atom
-7.88 -5.03
(order as listed above)